# 1
First-principles (GGA-PBE) data for a relaxed ThNpGa2 crystal, as listed in the Alexandria database.

Output
E_form = -0.14 eV/atom
Calculated total energy = -6.7408 eV per atom
Magnetic moment = 1.07 μB per atom

Cell: 7.247 7.247 7.247 Å, 90.00 90.00 90.00°
Space group Fm-3m (No. 225)
Unique sites:
Th  0.000  0.000  0.000
Np  0.000  0.000  0.500
Ga  0.250  0.250  0.250

***

# 2
First-principles (GGA-PBE) data for a relaxed Th2NpGa crystal, as listed in the Alexandria database.

Output
Excess energy over the best structure of this formula in the dataset = 0 meV/atom
E_form = 0.02 eV/atom
Calculated total energy = -7.6840 eV per atom
Magnetic moment = 1.23 μB per atom

Cell: 4.945 4.945 4.248 Å, 90.00 90.00 90.00°
Space group P4/mmm (No. 123)
Unique sites:
Th  0.000  0.500  0.000
Np  0.000  0.000  0.500
Ga  0.500  0.500  0.500

***

# 3
First-principles (GGA-PBE) data for a relaxed NpTiGa4 crystal, as listed in the Alexandria database.

Output
E_form = -0.11 eV/atom
Calculated total energy = -5.6039 eV per atom
Magnetic moment = 0.92 μB per atom

Cell: 7.568 7.568 7.568 Å, 90.00 90.00 90.00°
Space group F-43m (No. 216)
Unique sites:
Np  0.000  0.000  0.000
Ti  0.250  0.250  0.750
Ga  0.125  0.125  0.375